Entry 1:
DFT (PBE) results for crystalline K2PbAu at its relaxed geometry.

The structure belongs to space group Imm2 (No. 44); the cell edges are 4.5773, 5.9764 and 10.7060 Å and the angles 90.00°, 90.00° and 90.00°. The distinct sites, in fractional coordinates, are K at (0.0000, 0.0000, 0.0000), K at (0.0000, 0.5000, 0.1986), Pb at (0.0000, 0.0000, 0.4118) and Au at (0.0000, 0.5000, 0.7657).

The total magnetization comes out at 0.0 μB per formula unit. For the density of states at the Fermi level, the calculation gives 2.09 states/eV/f.u. The value obtained for the energy of formation from the pure elements is -0.186 eV/atom. The value obtained for the total energy is -2.482 eV/atom.

Entry 2:
DFT (PBE) results for crystalline HfTi2HgH at its relaxed geometry.

The structure belongs to space group P4/mmm (No. 123); the cell edges are 4.1064, 4.1064 and 4.6276 Å and the angles 90.00°, 90.00° and 90.00°. The distinct sites, in fractional coordinates, are Hf at (0.0000, 0.0000, 0.0000), Ti at (0.0000, 0.5000, 0.5000), Hg at (0.5000, 0.5000, 0.0000) and H at (0.5000, 0.5000, 0.5000).

The total magnetization comes out at 0.0 μB per formula unit. For the density of states at the Fermi level, the calculation gives 5.52 states/eV/f.u. The value obtained for the energy above the most stable polymorph in this dataset is 207 meV/atom. The value obtained for the total energy is -5.868 eV/atom.

Entry 3:
DFT (PBE) results for crystalline LaPrEuZn at its relaxed geometry.

The structure belongs to space group F-43m (No. 216); the cell edges are 7.8886, 7.8886 and 7.8886 Å and the angles 90.00°, 90.00° and 90.00°. The distinct sites, in fractional coordinates, are La at (0.0000, 0.0000, 0.0000), Pr at (0.0000, 0.0000, 0.5000), Eu at (0.2500, 0.2500, 0.2500) and Zn at (0.2500, 0.2500, 0.7500).

The total magnetization comes out at 7.3 μB per formula unit. For the density of states at the Fermi level, the calculation gives 4.46 states/eV/f.u. The value obtained for the energy of formation from the pure elements is 0.026 eV/atom. The value obtained for the total energy is -5.288 eV/atom.

Entry 4:
DFT (PBE) results for crystalline LiTl2Sn4 at its relaxed geometry.

The structure belongs to space group C2/m (No. 12); the cell edges are 21.6202, 3.5074 and 5.1920 Å and the angles 90.00°, 103.11° and 90.00°. The distinct sites, in fractional coordinates, are Li at (0.0000, 0.0000, 0.0000), Tl at (0.2201, 0.5000, 0.7197), Sn at (0.0735, 0.0000, 0.5727) and Sn at (0.1190, 0.5000, 0.1194).

The total magnetization comes out at 0.0 μB per formula unit. For the density of states at the Fermi level, the calculation gives 2.60 states/eV/f.u. The value obtained for the energy of formation from the pure elements is -0.022 eV/atom. The value obtained for the total energy is -3.259 eV/atom.

Please write out number 3 again, unchanged.
DFT (PBE) results for crystalline LaPrEuZn at its relaxed geometry.

The structure belongs to space group F-43m (No. 216); the cell edges are 7.8886, 7.8886 and 7.8886 Å and the angles 90.00°, 90.00° and 90.00°. The distinct sites, in fractional coordinates, are La at (0.0000, 0.0000, 0.0000), Pr at (0.0000, 0.0000, 0.5000), Eu at (0.2500, 0.2500, 0.2500) and Zn at (0.2500, 0.2500, 0.7500).

The total magnetization comes out at 7.3 μB per formula unit. For the density of states at the Fermi level, the calculation gives 4.46 states/eV/f.u. The value obtained for the energy of formation from the pure elements is 0.026 eV/atom. The value obtained for the total energy is -5.288 eV/atom.

Please write out number 2 again, unchanged.
DFT (PBE) results for crystalline HfTi2HgH at its relaxed geometry.

The structure belongs to space group P4/mmm (No. 123); the cell edges are 4.1064, 4.1064 and 4.6276 Å and the angles 90.00°, 90.00° and 90.00°. The distinct sites, in fractional coordinates, are Hf at (0.0000, 0.0000, 0.0000), Ti at (0.0000, 0.5000, 0.5000), Hg at (0.5000, 0.5000, 0.0000) and H at (0.5000, 0.5000, 0.5000).

The total magnetization comes out at 0.0 μB per formula unit. For the density of states at the Fermi level, the calculation gives 5.52 states/eV/f.u. The value obtained for the energy above the most stable polymorph in this dataset is 207 meV/atom. The value obtained for the total energy is -5.868 eV/atom.

Copy entry 3 word for word.
DFT (PBE) results for crystalline LaPrEuZn at its relaxed geometry.

The structure belongs to space group F-43m (No. 216); the cell edges are 7.8886, 7.8886 and 7.8886 Å and the angles 90.00°, 90.00° and 90.00°. The distinct sites, in fractional coordinates, are La at (0.0000, 0.0000, 0.0000), Pr at (0.0000, 0.0000, 0.5000), Eu at (0.2500, 0.2500, 0.2500) and Zn at (0.2500, 0.2500, 0.7500).

The total magnetization comes out at 7.3 μB per formula unit. For the density of states at the Fermi level, the calculation gives 4.46 states/eV/f.u. The value obtained for the energy of formation from the pure elements is 0.026 eV/atom. The value obtained for the total energy is -5.288 eV/atom.